# 1
Here is a relaxed structure of LaHoTe2 from the Alexandria database. Energies are from PBE.

Computed properties:
E above lowest polymorph = 0.153 eV/atom
Calculated total energy = -20.89 eV/cell

CIF file:
```
data_LaHoTe2
_chemical_formula_sum 'La1 Ho1 Te2'
_space_group_name_H-M_alt 'P 1'
_space_group_IT_number 1
_space_group_name_Hall 'P 1'
_cell_length_a 5.4482
_cell_length_b 5.4482
_cell_length_c 5.4482
_cell_angle_alpha 60.00
_cell_angle_beta 60.00
_cell_angle_gamma 60.00
loop_
_atom_site_label
_atom_site_type_symbol
_atom_site_fract_x
_atom_site_fract_y
_atom_site_fract_z
La1 La 0.0000 0.0000 0.0000
Ho1 Ho 0.5000 0.5000 0.5000
Te1 Te 0.2500 0.2500 0.2500
Te2 Te 0.7500 0.7500 0.7500
```

---

# 2
Here is a relaxed structure of La2HoTe5 from the Alexandria database. Energies are from PBE.

Computed properties:
Calculated total energy = -37.02 eV/cell

CIF file:
```
data_La2HoTe5
_chemical_formula_sum 'La2 Ho1 Te5'
_space_group_name_H-M_alt 'P 1'
_space_group_IT_number 1
_space_group_name_Hall 'P 1'
_cell_length_a 7.5114
_cell_length_b 7.5114
_cell_length_c 5.3064
_cell_angle_alpha 90.00
_cell_angle_beta 90.00
_cell_angle_gamma 90.00
loop_
_atom_site_label
_atom_site_type_symbol
_atom_site_fract_x
_atom_site_fract_y
_atom_site_fract_z
La1 La 0.0000 0.5000 0.0000
La2 La 0.5000 0.0000 0.0000
Ho1 Ho 0.0000 0.0000 0.5000
Te1 Te 0.0000 0.0000 0.0000
Te2 Te 0.2788 0.2788 0.5000
Te3 Te 0.2788 0.7212 0.5000
Te4 Te 0.7212 0.2788 0.5000
Te5 Te 0.7212 0.7212 0.5000
```

---

# 3
Here is a relaxed structure of La2HoTe from the Alexandria database. Energies are from PBE.

Computed properties:
E above lowest polymorph = 0.000 eV/atom
Calculated total energy = -19.99 eV/cell

CIF file:
```
data_La2HoTe
_chemical_formula_sum 'La2 Ho1 Te1'
_space_group_name_H-M_alt 'P 1'
_space_group_IT_number 1
_space_group_name_Hall 'P 1'
_cell_length_a 4.0751
_cell_length_b 4.0751
_cell_length_c 7.9527
_cell_angle_alpha 90.00
_cell_angle_beta 90.00
_cell_angle_gamma 90.00
loop_
_atom_site_label
_atom_site_type_symbol
_atom_site_fract_x
_atom_site_fract_y
_atom_site_fract_z
La1 La 0.0000 0.0000 0.2240
La2 La 0.0000 0.0000 0.7760
Ho1 Ho 0.5000 0.5000 0.5000
Te1 Te 0.5000 0.5000 0.0000
```

---

# 4
Here is a relaxed structure of La3HoTe6 from the Alexandria database. Energies are from PBE.

Computed properties:
E above lowest polymorph = 0.013 eV/atom
Calculated total energy = -106.15 eV/cell

CIF file:
```
data_La3HoTe6
_chemical_formula_sum 'La6 Ho2 Te12'
_space_group_name_H-M_alt 'P 1'
_space_group_IT_number 1
_space_group_name_Hall 'P 1'
_cell_length_a 9.2233
_cell_length_b 9.2233
_cell_length_c 9.2233
_cell_angle_alpha 99.25
_cell_angle_beta 99.25
_cell_angle_gamma 99.25
loop_
_atom_site_label
_atom_site_type_symbol
_atom_site_fract_x
_atom_site_fract_y
_atom_site_fract_z
La1 La 0.1206 0.6316 0.2901
La2 La 0.2901 0.1206 0.6316
La3 La 0.3684 0.7099 0.8794
La4 La 0.6316 0.2901 0.1206
La5 La 0.7099 0.8794 0.3684
La6 La 0.8794 0.3684 0.7099
Ho1 Ho 0.0000 0.0000 0.0000
Ho2 Ho 0.5000 0.5000 0.5000
Te1 Te 0.0369 0.6778 0.9332
Te2 Te 0.0668 0.9631 0.3222
Te3 Te 0.1825 0.4244 0.5604
Te4 Te 0.3222 0.0668 0.9631
Te5 Te 0.4244 0.5604 0.1825
Te6 Te 0.4396 0.8175 0.5756
Te7 Te 0.5604 0.1825 0.4244
Te8 Te 0.5756 0.4396 0.8175
Te9 Te 0.6778 0.9332 0.0369
Te10 Te 0.8175 0.5756 0.4396
Te11 Te 0.9332 0.0369 0.6778
Te12 Te 0.9631 0.3222 0.0668
```

---

| no. | size of the total moment (μB/cell) |
| --- | --- |
| 1 | 0.7 |
| 2 | 0.4 |
| 3 | 0.0 |
| 4 | 0.0 |